Entry 1:
DFT (PBE) results for crystalline RbAg2AuS at its relaxed geometry.

Computed properties:
As for the density of states at the Fermi level: 1.9 states/eV/cell. The calculated total energy comes out at -2.7466 eV per atom. The value obtained for the mass density is 6.2 g cm⁻³. The value obtained for the raw formation energy is 0.07 eV per atom.

Geometry as CIF:
```
data_RbAg2AuS
_chemical_formula_sum 'Rb1 Ag2 Au1 S1'
_cell_length_a 5.308
_cell_length_b 5.308
_cell_length_c 5.031
_cell_angle_alpha 90.00
_cell_angle_beta 90.00
_cell_angle_gamma 90.00
_space_group_name_H-M_alt 'P 1'
_space_group_IT_number 1
_space_group_name_Hall 'P 1'
loop_
_atom_site_label
_atom_site_type_symbol
_atom_site_fract_x
_atom_site_fract_y
_atom_site_fract_z
Rb1 Rb 0.000 0.000 0.000
Ag1 Ag 0.000 0.500 0.500
Ag2 Ag 0.500 0.000 0.500
Au1 Au 0.500 0.500 0.500
S1 S 0.500 0.500 0.000
```

Entry 2:
DFT (PBE) results for crystalline RbAgSb2Au at its relaxed geometry.

Computed properties:
As for the density of states at the Fermi level: 1.3 states/eV/cell. The calculated total energy comes out at -3.2919 eV per atom. The value obtained for the mass density is 7.4 g cm⁻³. The value obtained for the raw formation energy is -0.22 eV per atom.

Geometry as CIF:
```
data_RbAgSb2Au
_chemical_formula_sum 'Rb1 Ag1 Sb2 Au1'
_cell_length_a 6.801
_cell_length_b 6.801
_cell_length_c 6.801
_cell_angle_alpha 137.51
_cell_angle_beta 137.51
_cell_angle_gamma 61.65
_space_group_name_H-M_alt 'P 1'
_space_group_IT_number 1
_space_group_name_Hall 'P 1'
loop_
_atom_site_label
_atom_site_type_symbol
_atom_site_fract_x
_atom_site_fract_y
_atom_site_fract_z
Rb1 Rb 0.000 0.000 0.000
Ag1 Ag 0.250 0.750 0.500
Sb1 Sb 0.374 0.374 0.000
Sb2 Sb 0.626 0.626 0.000
Au1 Au 0.750 0.250 0.500
```

Entry 3:
DFT (PBE) results for crystalline Rb2AgSb3Au4 at its relaxed geometry.

Computed properties:
As for the density of states at the Fermi level: 4.2 states/eV/cell. The calculated total energy comes out at -3.2723 eV per atom. The value obtained for the mass density is 8.8 g cm⁻³. The value obtained for the raw formation energy is -0.25 eV per atom.

Geometry as CIF:
```
data_Rb2AgSb3Au4
_chemical_formula_sum 'Rb2 Ag1 Sb3 Au4'
_cell_length_a 4.931
_cell_length_b 4.931
_cell_length_c 11.119
_cell_angle_alpha 90.00
_cell_angle_beta 90.00
_cell_angle_gamma 90.00
_space_group_name_H-M_alt 'P 1'
_space_group_IT_number 1
_space_group_name_Hall 'P 1'
loop_
_atom_site_label
_atom_site_type_symbol
_atom_site_fract_x
_atom_site_fract_y
_atom_site_fract_z
Rb1 Rb 0.000 0.500 0.249
Rb2 Rb 0.500 0.000 0.751
Ag1 Ag 0.000 0.000 0.500
Sb1 Sb 0.000 0.500 0.874
Sb2 Sb 0.500 0.000 0.126
Sb3 Sb 0.500 0.500 0.500
Au1 Au 0.000 0.000 0.000
Au2 Au 0.000 0.500 0.624
Au3 Au 0.500 0.000 0.376
Au4 Au 0.500 0.500 0.000
```

Entry 4:
DFT (PBE) results for crystalline RbAgAuSe2 at its relaxed geometry.

Computed properties:
As for the density of states at the Fermi level: 5.8 states/eV/cell. The calculated total energy comes out at -3.2384 eV per atom. The value obtained for the mass density is 6.3 g cm⁻³. The value obtained for the raw formation energy is -0.43 eV per atom.

Geometry as CIF:
```
data_RbAgAuSe2
_chemical_formula_sum 'Rb2 Ag2 Au2 Se4'
_cell_length_a 7.163
_cell_length_b 7.163
_cell_length_c 6.800
_cell_angle_alpha 90.00
_cell_angle_beta 90.00
_cell_angle_gamma 124.39
_space_group_name_H-M_alt 'P 1'
_space_group_IT_number 1
_space_group_name_Hall 'P 1'
loop_
_atom_site_label
_atom_site_type_symbol
_atom_site_fract_x
_atom_site_fract_y
_atom_site_fract_z
Rb1 Rb 0.250 0.750 0.756
Rb2 Rb 0.750 0.250 0.244
Ag1 Ag 0.250 0.250 0.500
Ag2 Ag 0.750 0.750 0.500
Au1 Au 0.000 0.000 0.000
Au2 Au 0.500 0.500 0.000
Se1 Se 0.119 0.881 0.283
Se2 Se 0.381 0.619 0.283
Se3 Se 0.619 0.381 0.717
Se4 Se 0.881 0.119 0.717
```

Entry 5:
DFT (PBE) results for crystalline RbAg2AuSe2 at its relaxed geometry.

Computed properties:
The calculated total energy comes out at -3.2224 eV per atom. The value obtained for the mass density is 6.3 g cm⁻³. The value obtained for the raw formation energy is -0.40 eV per atom.

Geometry as CIF:
```
data_RbAg2AuSe2
_chemical_formula_sum 'Rb2 Ag4 Au2 Se4'
_cell_length_a 7.335
_cell_length_b 10.127
_cell_length_c 4.682
_cell_angle_alpha 90.00
_cell_angle_beta 90.00
_cell_angle_gamma 90.00
_space_group_name_H-M_alt 'P 1'
_space_group_IT_number 1
_space_group_name_Hall 'P 1'
loop_
_atom_site_label
_atom_site_type_symbol
_atom_site_fract_x
_atom_site_fract_y
_atom_site_fract_z
Rb1 Rb 0.000 0.000 0.000
Rb2 Rb 0.500 0.500 0.500
Ag1 Ag 0.053 0.316 0.500
Ag2 Ag 0.447 0.816 0.000
Ag3 Ag 0.553 0.184 0.000
Ag4 Ag 0.947 0.684 0.500
Au1 Au 0.000 0.500 0.000
Au2 Au 0.500 0.000 0.500
Se1 Se 0.216 0.311 0.000
Se2 Se 0.284 0.811 0.500
Se3 Se 0.716 0.189 0.500
Se4 Se 0.784 0.689 0.000
```

Entry 6:
DFT (PBE) results for crystalline RbSiAgAu2 at its relaxed geometry.

Computed properties:
As for the density of states at the Fermi level: 0.8 states/eV/cell. The calculated total energy comes out at -3.2629 eV per atom. The value obtained for the mass density is 8.2 g cm⁻³. The value obtained for the raw formation energy is -0.10 eV per atom.

Geometry as CIF:
```
data_RbSiAgAu2
_chemical_formula_sum 'Rb1 Si1 Ag1 Au2'
_cell_length_a 4.964
_cell_length_b 4.964
_cell_length_c 5.070
_cell_angle_alpha 90.00
_cell_angle_beta 90.00
_cell_angle_gamma 90.00
_space_group_name_H-M_alt 'P 1'
_space_group_IT_number 1
_space_group_name_Hall 'P 1'
loop_
_atom_site_label
_atom_site_type_symbol
_atom_site_fract_x
_atom_site_fract_y
_atom_site_fract_z
Rb1 Rb 0.000 0.000 0.000
Si1 Si 0.500 0.500 0.500
Ag1 Ag 0.500 0.500 0.000
Au1 Au 0.000 0.500 0.500
Au2 Au 0.500 0.000 0.500
```

Entry 7:
DFT (PBE) results for crystalline RbAg2SnAu at its relaxed geometry.

Computed properties:
As for the density of states at the Fermi level: 1.4 states/eV/cell. The calculated total energy comes out at -2.7918 eV per atom. The value obtained for the mass density is 6.5 g cm⁻³. The formation energy comes out at -2 meV/atom.

Geometry as CIF:
```
data_RbAg2SnAu
_chemical_formula_sum 'Rb1 Ag2 Sn1 Au1'
_cell_length_a 5.386
_cell_length_b 5.386
_cell_length_c 5.404
_cell_angle_alpha 90.00
_cell_angle_beta 90.00
_cell_angle_gamma 90.00
_space_group_name_H-M_alt 'P 1'
_space_group_IT_number 1
_space_group_name_Hall 'P 1'
loop_
_atom_site_label
_atom_site_type_symbol
_atom_site_fract_x
_atom_site_fract_y
_atom_site_fract_z
Rb1 Rb 0.000 0.000 0.000
Ag1 Ag 0.000 0.500 0.500
Ag2 Ag 0.500 0.000 0.500
Sn1 Sn 0.500 0.500 0.500
Au1 Au 0.500 0.500 0.000
```

Entry 8:
DFT (PBE) results for crystalline RbAg2SnAu at its relaxed geometry.

Computed properties:
As for the density of states at the Fermi level: 3.8 states/eV/cell. The calculated total energy comes out at -2.3021 eV per atom. The value obtained for the mass density is 6.1 g cm⁻³. The formation energy comes out at 488 meV/atom.

Geometry as CIF:
```
data_RbAg2SnAu
_chemical_formula_sum 'Rb1 Ag2 Sn1 Au1'
_cell_length_a 5.307
_cell_length_b 5.307
_cell_length_c 5.961
_cell_angle_alpha 90.00
_cell_angle_beta 90.00
_cell_angle_gamma 90.00
_space_group_name_H-M_alt 'P 1'
_space_group_IT_number 1
_space_group_name_Hall 'P 1'
loop_
_atom_site_label
_atom_site_type_symbol
_atom_site_fract_x
_atom_site_fract_y
_atom_site_fract_z
Rb1 Rb 0.000 0.000 0.000
Ag1 Ag 0.000 0.500 0.500
Ag2 Ag 0.500 0.000 0.500
Sn1 Sn 0.500 0.500 0.000
Au1 Au 0.000 0.000 0.500
```

Entry 9:
DFT (PBE) results for crystalline RbAgSnAu3 at its relaxed geometry.

Computed properties:
As for the density of states at the Fermi level: 3.5 states/eV/cell. The calculated total energy comes out at -3.0342 eV per atom. The value obtained for the mass density is 8.8 g cm⁻³. The formation energy comes out at -92 meV/atom.

Geometry as CIF:
```
data_RbAgSnAu3
_chemical_formula_sum 'Rb2 Ag2 Sn2 Au6'
_cell_length_a 7.234
_cell_length_b 7.234
_cell_length_c 7.795
_cell_angle_alpha 90.00
_cell_angle_beta 90.00
_cell_angle_gamma 123.22
_space_group_name_H-M_alt 'P 1'
_space_group_IT_number 1
_space_group_name_Hall 'P 1'
loop_
_atom_site_label
_atom_site_type_symbol
_atom_site_fract_x
_atom_site_fract_y
_atom_site_fract_z
Rb1 Rb 0.218 0.782 0.750
Rb2 Rb 0.782 0.218 0.250
Ag1 Ag 0.483 0.517 0.750
Ag2 Ag 0.517 0.483 0.250
Sn1 Sn 0.094 0.906 0.250
Sn2 Sn 0.906 0.094 0.750
Au1 Au 0.224 0.224 0.000
Au2 Au 0.224 0.224 0.500
Au3 Au 0.303 0.697 0.250
Au4 Au 0.697 0.303 0.750
Au5 Au 0.776 0.776 0.000
Au6 Au 0.776 0.776 0.500
```

Entry 10:
DFT (PBE) results for crystalline RbAgSn3Au at its relaxed geometry.

Computed properties:
As for the density of states at the Fermi level: 6.6 states/eV/cell. The calculated total energy comes out at -3.1468 eV per atom. The value obtained for the mass density is 6.1 g cm⁻³. The formation energy comes out at 37 meV/atom.

Geometry as CIF:
```
data_RbAgSn3Au
_chemical_formula_sum 'Rb2 Ag2 Sn6 Au2'
_cell_length_a 8.422
_cell_length_b 8.422
_cell_length_c 7.316
_cell_angle_alpha 90.00
_cell_angle_beta 90.00
_cell_angle_gamma 128.80
_space_group_name_H-M_alt 'P 1'
_space_group_IT_number 1
_space_group_name_Hall 'P 1'
loop_
_atom_site_label
_atom_site_type_symbol
_atom_site_fract_x
_atom_site_fract_y
_atom_site_fract_z
Rb1 Rb 0.243 0.757 0.750
Rb2 Rb 0.757 0.243 0.250
Ag1 Ag 0.422 0.578 0.250
Ag2 Ag 0.578 0.422 0.750
Sn1 Sn 0.247 0.247 0.000
Sn2 Sn 0.247 0.247 0.500
Sn3 Sn 0.247 0.753 0.250
Sn4 Sn 0.753 0.247 0.750
Sn5 Sn 0.753 0.753 0.000
Sn6 Sn 0.753 0.753 0.500
Au1 Au 0.076 0.924 0.250
Au2 Au 0.924 0.076 0.750
```

Entry 11:
DFT (PBE) results for crystalline RbSrAgAu at its relaxed geometry.

Computed properties:
As for the density of states at the Fermi level: 2.2 states/eV/cell. The calculated total energy comes out at -2.3990 eV per atom. The value obtained for the mass density is 6.1 g cm⁻³. The formation energy comes out at -204 meV/atom.

Geometry as CIF:
```
data_RbSrAgAu
_chemical_formula_sum 'Rb1 Sr1 Ag1 Au1'
_cell_length_a 5.682
_cell_length_b 5.682
_cell_length_c 5.682
_cell_angle_alpha 60.00
_cell_angle_beta 60.00
_cell_angle_gamma 60.00
_space_group_name_H-M_alt 'P 1'
_space_group_IT_number 1
_space_group_name_Hall 'P 1'
loop_
_atom_site_label
_atom_site_type_symbol
_atom_site_fract_x
_atom_site_fract_y
_atom_site_fract_z
Rb1 Rb 0.000 0.000 0.000
Sr1 Sr 0.500 0.500 0.500
Ag1 Ag 0.250 0.250 0.250
Au1 Au 0.750 0.750 0.750
```

Entry 12:
DFT (PBE) results for crystalline RbTc2AgAu at its relaxed geometry.

Computed properties:
As for the density of states at the Fermi level: 3.5 states/eV/cell. The calculated total energy comes out at -2.7864 eV per atom. The value obtained for the mass density is 7.9 g cm⁻³. The formation energy comes out at 2779 meV/atom.

Geometry as CIF:
```
data_RbTc2AgAu
_chemical_formula_sum 'Rb1 Tc2 Ag1 Au1'
_cell_length_a 4.855
_cell_length_b 4.855
_cell_length_c 5.254
_cell_angle_alpha 90.00
_cell_angle_beta 90.00
_cell_angle_gamma 90.00
_space_group_name_H-M_alt 'P 1'
_space_group_IT_number 1
_space_group_name_Hall 'P 1'
loop_
_atom_site_label
_atom_site_type_symbol
_atom_site_fract_x
_atom_site_fract_y
_atom_site_fract_z
Rb1 Rb 0.000 0.000 0.000
Tc1 Tc 0.000 0.500 0.000
Tc2 Tc 0.500 0.000 0.000
Ag1 Ag 0.000 0.000 0.500
Au1 Au 0.500 0.500 0.500
```

> Look up the calculated total energy of the third one.

-3.2723 eV per atom

> The highest calculated total energy belongs to which entry?

number 8